No. 1
The following is a DFT calculation (PBE-GGA) of a relaxed Er2Ir crystal.

The space group is P-62m (No. 189) and the conventional cell measures 7.5653, 7.5653 and 4.1957 Å, with angles of 90.00, 90.00 and 120.00 degrees. The inequivalent atoms are Er at (0.0000, 0.4133, 0.0000), Er at (0.0000, 0.7432, 0.5000), Ir at (0.0000, 0.0000, 0.0000) and Ir at (0.3333, 0.6667, 0.5000).

The total energy comes out at -6.70 eV per atom. As for the calculated formation energy: -706 meV/atom.

***

No. 2
The following is a DFT calculation (PBE-GGA) of a relaxed Er2Ir crystal.

The space group is Fd-3m (No. 227, origin choice 2) and the conventional cell measures 8.085, 8.085 and 8.085 Å, with angles of 90.00, 90.00 and 90.00 degrees. The inequivalent atoms are Er at (0.000, 0.000, 0.000) and Ir at (0.125, 0.125, 0.625).

The total energy comes out at -5.37 eV per atom. As for the calculated formation energy: 623 meV/atom.

***

No. 3
The following is a DFT calculation (PBE-GGA) of a relaxed Er3Ir crystal.

The space group is Pnma (No. 62) and the conventional cell measures 7.187, 9.159 and 6.287 Å, with angles of 90.00, 90.00 and 90.00 degrees. The inequivalent atoms are Er at (0.035, 0.250, 0.132), Er at (0.177, 0.062, 0.672) and Ir at (0.118, 0.750, 0.452).

The total energy comes out at -6.25 eV per atom. As for the calculated formation energy: -614 meV/atom.

***

No. 4
The following is a DFT calculation (PBE-GGA) of a relaxed ErIr crystal.

The space group is F-43m (No. 216) and the conventional cell measures 6.163, 6.163 and 6.163 Å, with angles of 90.00, 90.00 and 90.00 degrees. The inequivalent atoms are Er at (0.000, 0.000, 0.000) and Ir at (0.250, 0.250, 0.750).

The total energy comes out at -6.49 eV per atom. As for the calculated formation energy: 222 meV/atom.

***

No. 5
The following is a DFT calculation (PBE-GGA) of a relaxed Er2Ir crystal.

The space group is Fd-3m (No. 227, origin choice 2) and the conventional cell measures 11.866, 11.866 and 11.866 Å, with angles of 90.00, 90.00 and 90.00 degrees. The inequivalent atoms are Er at (0.000, 0.000, 0.000) and Ir at (0.125, 0.125, 0.125).

The total energy comes out at -5.32 eV per atom. As for the calculated formation energy: 678 meV/atom.

***

No. 6
The following is a DFT calculation (PBE-GGA) of a relaxed KErIr crystal.

The space group is F-43m (No. 216) and the conventional cell measures 6.916, 6.916 and 6.916 Å, with angles of 90.00, 90.00 and 90.00 degrees. The inequivalent atoms are K at (0.000, 0.000, 0.000), Er at (0.000, 0.000, 0.500) and Ir at (0.250, 0.250, 0.750).

The total energy comes out at -4.55 eV per atom. The excess energy over the best structure of this formula in the dataset is 0 meV per atom.

***

no.,M_tot (μB per formula unit)
1,0.00
2,0.00
3,0.01
4,0.00
5,0.00
6,0.00